Cs2KAu2: relaxed, PBE.

Results
distance to the lowest polymorph of the same formula = 127 meV per atom
space group = I4/mmm (139)
magnetization = 0.0 μB per formula unit
formation energy from the elements = -0.140 eV per atom
volume = 232.5 Å³/cell
theoretical density = 4.99 g/cm³

a b c (Å): 8.407 8.407 8.407
angles (deg): 141.10 141.10 56.18
Atoms (fractional coordinates):
Cs1 0.750 0.250 0.500
Cs2 0.250 0.750 0.500
K1 0.000 0.000 0.000
Au1 0.595 0.595 0.000
Au2 0.405 0.405 0.000